P:
## SrMnCo2 (GGA-PBE)

Data for SrMnCo2 after structural relaxation.

Unit cell a=3.152 b=3.152 c=7.156 alpha=90.00 beta=90.00 gamma=90.00
Space group P4mm (No. 99)
Symmetry-distinct sites (fractional):
Sr (0.000, 0.000, 0.000) (multiplicity 1)
Mn (0.500, 0.500, 0.644) (multiplicity 1)
Co (0.000, 0.000, 0.460) (multiplicity 1)
Co (0.500, 0.500, 0.313) (multiplicity 1)

Results
The total magnetization is 6.7 μB/f.u.


Q:
## SrMnCo2 (GGA-PBE)

Data for SrMnCo2 after structural relaxation.

Unit cell a=3.254 b=3.281 c=6.740 alpha=90.00 beta=90.00 gamma=90.00
Space group Pmmm (No. 47)
Symmetry-distinct sites (fractional):
Sr (0.000, 0.000, 0.000) (multiplicity 1)
Mn (0.000, 0.000, 0.500) (multiplicity 1)
Co (0.500, 0.500, 0.334) (multiplicity 2)

Results
The total magnetization is 6.4 μB/f.u.


R:
## SrMnCo2 (GGA-PBE)

Data for SrMnCo2 after structural relaxation.

Unit cell a=4.1010 b=4.1010 c=16.1205 alpha=90.00 beta=90.00 gamma=120.00
Space group R-3m (No. 166, hexagonal axes)
Symmetry-distinct sites (fractional):
Sr (0.0000, 0.0000, 0.0000) (multiplicity 3)
Mn (0.0000, 0.0000, 0.5000) (multiplicity 3)
Co (0.0000, 0.0000, 0.1858) (multiplicity 6)

Results
The total magnetization is 4.9 μB/f.u.


S:
## SrMnCo2 (GGA-PBE)

Data for SrMnCo2 after structural relaxation.

Unit cell a=3.988 b=3.988 c=8.777 alpha=90.00 beta=90.00 gamma=90.00
Space group I-4m2 (No. 119)
Symmetry-distinct sites (fractional):
Sr (0.000, 0.000, 0.000) (multiplicity 2)
Mn (0.000, 0.500, 0.250) (multiplicity 2)
Co (0.000, 0.000, 0.500) (multiplicity 2)
Co (0.000, 0.500, 0.750) (multiplicity 2)

Results
The total magnetization is 6.8 μB/f.u.


It is S that is the least stable of them.


P:
## SrMnCo2 (GGA-PBE)

Data for SrMnCo2 after structural relaxation.

Unit cell a=3.814 b=3.865 c=11.133 alpha=90.00 beta=90.00 gamma=90.00
Space group Amm2 (No. 38)
Symmetry-distinct sites (fractional):
Sr (0.000, 0.000, 0.000) (multiplicity 2)
Mn (0.500, 0.000, 0.729) (multiplicity 2)
Co (0.000, 0.000, 0.267) (multiplicity 2)
Co (0.500, 0.000, 0.363) (multiplicity 2)

Results
The total magnetization is 6.6 μB/f.u.


Q:
## SrMnCo2 (GGA-PBE)

Data for SrMnCo2 after structural relaxation.

Unit cell a=3.068 b=4.866 c=9.542 alpha=90.00 beta=90.00 gamma=90.00
Space group Imm2 (No. 44)
Symmetry-distinct sites (fractional):
Sr (0.000, 0.000, 0.000) (multiplicity 2)
Mn (0.000, 0.500, 0.204) (multiplicity 2)
Co (0.000, 0.000, 0.473) (multiplicity 2)
Co (0.000, 0.500, 0.785) (multiplicity 2)

Results
The total magnetization is 6.9 μB/f.u.


It is Q that is the least stable of them.


P:
## SrMnCo2 (GGA-PBE)

Data for SrMnCo2 after structural relaxation.

Unit cell a=4.607 b=4.607 c=16.349 alpha=90.00 beta=90.00 gamma=90.00
Space group I4_1/amd (No. 141, origin choice 2)
Symmetry-distinct sites (fractional):
Sr (0.000, 0.250, 0.375) (multiplicity 4)
Mn (0.000, 0.250, 0.875) (multiplicity 4)
Co (0.000, 0.000, 0.000) (multiplicity 8)

Results
The total magnetization is 5.8 μB/f.u.


Q:
## SrMnCo2 (GGA-PBE)

Data for SrMnCo2 after structural relaxation.

Unit cell a=6.469 b=6.469 c=6.469 alpha=90.00 beta=90.00 gamma=90.00
Space group F-43m (No. 216)
Symmetry-distinct sites (fractional):
Sr (0.000, 0.000, 0.000) (multiplicity 4)
Mn (0.250, 0.250, 0.750) (multiplicity 4)
Co (0.000, 0.000, 0.500) (multiplicity 4)
Co (0.250, 0.250, 0.250) (multiplicity 4)

Results
The total magnetization is 6.2 μB/f.u.


It is Q that is the least stable of them.


P:
## SrMnCo (GGA-PBE)

Data for SrMnCo after structural relaxation.

Unit cell a=4.0920 b=4.0920 c=29.8887 alpha=90.00 beta=90.00 gamma=120.00
Space group R3m (No. 160, hexagonal axes)
Symmetry-distinct sites (fractional):
Sr (0.0000, 0.0000, 0.0000) (multiplicity 3)
Sr (0.0000, 0.0000, 0.4622) (multiplicity 3)
Mn (0.0000, 0.0000, 0.1964) (multiplicity 3)
Mn (0.0000, 0.0000, 0.5791) (multiplicity 3)
Co (0.0000, 0.0000, 0.2704) (multiplicity 3)
Co (0.0000, 0.0000, 0.8887) (multiplicity 3)

Results
The total magnetization is 4.3 μB/f.u.


Q:
## SrMnCo (GGA-PBE)

Data for SrMnCo after structural relaxation.

Unit cell a=4.093 b=3.923 c=8.468 alpha=90.00 beta=92.89 gamma=90.00
Space group Pm (No. 6)
Symmetry-distinct sites (fractional):
Sr (0.000, 0.000, 0.000) (multiplicity 1)
Sr (0.472, 0.500, 0.609) (multiplicity 1)
Mn (0.038, 0.500, 0.301) (multiplicity 1)
Mn (0.917, 0.000, 0.413) (multiplicity 1)
Co (0.435, 0.000, 0.305) (multiplicity 1)
Co (0.555, 0.500, 0.184) (multiplicity 1)

Results
The total magnetization is 0.3 μB/f.u.


R:
## SrMnCo (GGA-PBE)

Data for SrMnCo after structural relaxation.

Unit cell a=4.615 b=4.042 c=8.304 alpha=90.00 beta=95.47 gamma=90.00
Space group P2_1/m (No. 11)
Symmetry-distinct sites (fractional):
Sr (0.217, 0.250, 0.303) (multiplicity 2)
Mn (0.366, 0.250, 0.908) (multiplicity 2)
Co (0.135, 0.750, 0.012) (multiplicity 2)

Results
The total magnetization is 4.1 μB/f.u.


It is Q that is the least stable of them.


P:
## SrMnCo (GGA-PBE)

Data for SrMnCo after structural relaxation.

Unit cell a=5.2850 b=5.2850 c=8.2704 alpha=90.00 beta=90.00 gamma=120.00
Space group P6_3/mmc (No. 194)
Symmetry-distinct sites (fractional):
Sr (0.3333, 0.6667, 0.2500) (multiplicity 2)
Mn (0.0000, 0.0000, 0.2500) (multiplicity 2)
Co (0.0000, 0.0000, 0.0000) (multiplicity 2)

Results
The total magnetization is 3.6 μB/f.u.


Q:
## SrMnCo (GGA-PBE)

Data for SrMnCo after structural relaxation.

Unit cell a=4.0655 b=4.0655 c=4.6916 alpha=90.00 beta=90.00 gamma=120.00
Space group P-6m2 (No. 187)
Symmetry-distinct sites (fractional):
Sr (0.0000, 0.0000, 0.0000) (multiplicity 1)
Mn (0.3333, 0.6667, 0.5000) (multiplicity 1)
Co (0.6667, 0.3333, 0.5000) (multiplicity 1)

Results
The total magnetization is 4.2 μB/f.u.


It is P that is the least stable of them.


P:
## SrMnCo (GGA-PBE)

Data for SrMnCo after structural relaxation.

Unit cell a=3.7669 b=3.7669 c=9.9560 alpha=90.00 beta=90.00 gamma=120.00
Space group P6_3/mmc (No. 194)
Symmetry-distinct sites (fractional):
Sr (0.0000, 0.0000, 0.0000) (multiplicity 2)
Mn (0.3333, 0.6667, 0.2500) (multiplicity 2)
Co (0.3333, 0.6667, 0.7500) (multiplicity 2)

Results
The total magnetization is 1.5 μB/f.u.


Q:
## SrMnCo (GGA-PBE)

Data for SrMnCo after structural relaxation.

Unit cell a=3.868 b=3.868 c=10.465 alpha=89.76 beta=89.61 gamma=60.02
Space group P1 (No. 1)
Symmetry-distinct sites (fractional):
Sr (0.000, 0.000, 0.000) (multiplicity 1)
Sr (0.344, 0.335, 0.385) (multiplicity 1)
Mn (0.337, 0.334, 0.758) (multiplicity 1)
Mn (0.670, 0.667, 0.790) (multiplicity 1)
Co (0.006, 0.001, 0.631) (multiplicity 1)
Co (0.674, 0.668, 0.577) (multiplicity 1)

Results
The total magnetization is 1.6 μB/f.u.


It is P that is the least stable of them.


P:
## SrMnCo (GGA-PBE)

Data for SrMnCo after structural relaxation.

Unit cell a=11.301 b=3.897 c=7.537 alpha=90.00 beta=128.77 gamma=90.00
Space group Cm (No. 8)
Symmetry-distinct sites (fractional):
Sr (0.000, 0.000, 0.000) (multiplicity 2)
Sr (0.136, 0.000, 0.694) (multiplicity 2)
Mn (0.209, 0.500, 0.422) (multiplicity 2)
Mn (0.316, 0.500, 0.221) (multiplicity 2)
Co (0.335, 0.000, 0.455) (multiplicity 2)
Co (0.460, 0.000, 0.286) (multiplicity 2)

Results
The total magnetization is 1.0 μB/f.u.


Q:
## SrMnCo (GGA-PBE)

Data for SrMnCo after structural relaxation.

Unit cell a=3.699 b=4.411 c=9.651 alpha=82.39 beta=89.78 gamma=65.27
Space group P1 (No. 1)
Symmetry-distinct sites (fractional):
Sr (0.000, 0.000, 0.000) (multiplicity 1)
Sr (0.353, 0.308, 0.396) (multiplicity 1)
Mn (0.085, 0.835, 0.614) (multiplicity 1)
Mn (0.532, 0.941, 0.721) (multiplicity 1)
Co (0.272, 0.464, 0.808) (multiplicity 1)
Co (0.822, 0.367, 0.669) (multiplicity 1)

Results
The total magnetization is 0.8 μB/f.u.


It is Q that is the least stable of them.


P:
## SrMnCo (GGA-PBE)

Data for SrMnCo after structural relaxation.

Unit cell a=3.856 b=3.856 c=10.544 alpha=100.21 beta=90.17 gamma=119.99
Space group P1 (No. 1)
Symmetry-distinct sites (fractional):
Sr (0.000, 0.000, 0.000) (multiplicity 1)
Sr (0.207, 0.401, 0.615) (multiplicity 1)
Mn (0.104, 0.201, 0.308) (multiplicity 1)
Mn (0.437, 0.868, 0.308) (multiplicity 1)
Co (0.732, 0.459, 0.193) (multiplicity 1)
Co (0.809, 0.609, 0.423) (multiplicity 1)

Results
The total magnetization is 0.0 μB/f.u.


Q:
## SrMnCo (GGA-PBE)

Data for SrMnCo after structural relaxation.

Unit cell a=6.512 b=6.512 c=6.512 alpha=90.00 beta=90.00 gamma=90.00
Space group F-43m (No. 216)
Symmetry-distinct sites (fractional):
Sr (0.000, 0.000, 0.000) (multiplicity 4)
Mn (0.000, 0.000, 0.500) (multiplicity 4)
Co (0.250, 0.250, 0.250) (multiplicity 4)

Results
The total magnetization is 5.0 μB/f.u.


It is Q that is the least stable of them.


P:
## Sr2MnCo2 (GGA-PBE)

Data for Sr2MnCo2 after structural relaxation.

Unit cell a=6.304 b=6.304 c=4.948 alpha=90.00 beta=90.00 gamma=90.00
Space group P4/mbm (No. 127)
Symmetry-distinct sites (fractional):
Sr (0.184, 0.316, 0.000) (multiplicity 4)
Mn (0.000, 0.000, 0.500) (multiplicity 2)
Co (0.131, 0.631, 0.500) (multiplicity 4)

Results
The total magnetization is 1.1 μB/f.u.


Q:
## Sr2MnCo2 (GGA-PBE)

Data for Sr2MnCo2 after structural relaxation.

Unit cell a=8.296 b=8.296 c=3.145 alpha=90.00 beta=90.00 gamma=90.00
Space group P4/mbm (No. 127)
Symmetry-distinct sites (fractional):
Sr (0.140, 0.360, 0.000) (multiplicity 4)
Mn (0.000, 0.000, 0.000) (multiplicity 2)
Co (0.169, 0.669, 0.500) (multiplicity 4)

Results
The total magnetization is 2.1 μB/f.u.


R:
## Sr2MnCo2 (GGA-PBE)

Data for Sr2MnCo2 after structural relaxation.

Unit cell a=3.423 b=3.423 c=20.593 alpha=90.00 beta=90.00 gamma=90.00
Space group I4/mmm (No. 139)
Symmetry-distinct sites (fractional):
Sr (0.000, 0.000, 0.123) (multiplicity 4)
Mn (0.000, 0.000, 0.500) (multiplicity 2)
Co (0.000, 0.500, 0.250) (multiplicity 4)

Results
The total magnetization is 7.0 μB/f.u.


It is Q that is the least stable of them.


P:
## SrMn2Co2 (GGA-PBE)

Data for SrMn2Co2 after structural relaxation.

Unit cell a=4.144 b=4.144 c=9.787 alpha=90.00 beta=90.00 gamma=90.00
Space group I4/mmm (No. 139)
Symmetry-distinct sites (fractional):
Sr (0.000, 0.000, 0.000) (multiplicity 2)
Mn (0.000, 0.000, 0.362) (multiplicity 4)
Co (0.000, 0.500, 0.250) (multiplicity 4)

Results
The total magnetization is 6.4 μB/f.u.


Q:
## SrMn2Co2 (GGA-PBE)

Data for SrMn2Co2 after structural relaxation.

Unit cell a=7.483 b=7.483 c=2.905 alpha=90.00 beta=90.00 gamma=90.00
Space group P4/mbm (No. 127)
Symmetry-distinct sites (fractional):
Sr (0.000, 0.000, 0.000) (multiplicity 2)
Mn (0.128, 0.372, 0.000) (multiplicity 4)
Co (0.147, 0.647, 0.500) (multiplicity 4)

Results
The total magnetization is 9.6 μB/f.u.


It is P that is the least stable of them.


P:
## TaMn2Co (GGA-PBE)

Data for TaMn2Co after structural relaxation.

Unit cell a=2.670 b=4.002 c=5.043 alpha=90.00 beta=103.72 gamma=90.00
Space group Pm (No. 6)
Symmetry-distinct sites (fractional):
Ta (0.000, 0.000, 0.000) (multiplicity 1)
Mn (0.247, 0.500, 0.717) (multiplicity 1)
Mn (0.503, 0.000, 0.502) (multiplicity 1)
Co (0.734, 0.500, 0.262) (multiplicity 1)

Results
The total magnetization is 4.4 μB/f.u.


Q:
## TaMn2Co (GGA-PBE)

Data for TaMn2Co after structural relaxation.

Unit cell a=2.7667 b=2.7667 c=25.2329 alpha=90.00 beta=90.00 gamma=120.00
Space group R-3m (No. 166, hexagonal axes)
Symmetry-distinct sites (fractional):
Ta (0.0000, 0.0000, 0.0000) (multiplicity 3)
Mn (0.0000, 0.0000, 0.2429) (multiplicity 6)
Co (0.0000, 0.0000, 0.5000) (multiplicity 3)

Results
The total magnetization is 6.6 μB/f.u.


It is Q that is the least stable of them.


P:
## TaMn2Co (GGA-PBE)

Data for TaMn2Co after structural relaxation.

Unit cell a=5.124 b=8.328 c=2.683 alpha=90.00 beta=112.88 gamma=90.00
Space group C2/m (No. 12)
Symmetry-distinct sites (fractional):
Ta (0.000, 0.000, 0.000) (multiplicity 2)
Mn (0.250, 0.250, 0.500) (multiplicity 4)
Co (0.000, 0.500, 0.000) (multiplicity 2)

Results
The total magnetization is 4.7 μB/f.u.


Q:
## TaMn2Co (GGA-PBE)

Data for TaMn2Co after structural relaxation.

Unit cell a=2.665 b=4.114 c=4.864 alpha=90.00 beta=99.25 gamma=90.00
Space group P2/m (No. 10)
Symmetry-distinct sites (fractional):
Ta (0.000, 0.000, 0.000) (multiplicity 1)
Mn (0.264, 0.500, 0.732) (multiplicity 2)
Co (0.500, 0.000, 0.500) (multiplicity 1)

Results
The total magnetization is 4.9 μB/f.u.


It is P that is the least stable of them.